{"formula": "Re3SiPd", "functional": "PBE", "state": "relaxed", "lattice": [[4.694, 0.000, 0.000], [0.000, 4.694, 0.000], [0.000, 0.000, 4.694]], "species": ["Re", "Re", "Si", "Pd", "Re"], "fractional_positions": [[0.000, 0.500, 0.000], [0.500, 0.000, 0.000], [0.500, 0.500, 0.500], [0.000, 0.000, 0.000], [0.000, 0.000, 0.500]], "relative_energy_ev_per_atom": 1.4752, "space_group": "Pm-3m (221)", "raw_formation_energy_ev_per_atom": 2.75}